No. 1
RbBeInHg2 | Alexandria | GGA-PBE | relaxed; symmetry = P4/mmm
1.0
5.230 0.000 0.000
0.000 5.230 0.000
0.000 0.000 5.039
Rb Be In Hg
1 1 1 2
Direct
0.000 0.000 0.000
0.500 0.500 0.500
0.500 0.500 0.000
0.000 0.500 0.500
0.500 0.000 0.500

=====

No. 2
TaBeIn2Hg | Alexandria | GGA-PBE | relaxed; symmetry = P4/mmm
1.0
4.828 0.000 0.000
0.000 4.828 0.000
0.000 0.000 4.489
Ta Be In Hg
1 1 2 1
Direct
0.000 0.000 0.000
0.500 0.500 0.500
0.000 0.500 0.500
0.500 0.000 0.500
0.500 0.500 0.000

=====

No. 3
BeTlInHg2 | Alexandria | GGA-PBE | relaxed; symmetry = P4/mmm
1.0
4.898 0.000 0.000
0.000 4.898 0.000
0.000 0.000 5.144
Be Tl In Hg
1 1 1 2
Direct
0.000 0.000 0.000
0.500 0.500 0.500
0.000 0.000 0.500
0.000 0.500 0.000
0.500 0.000 0.000

=====

No. 4
BeVIn2Hg | Alexandria | GGA-PBE | relaxed; symmetry = P4/mmm; offset from the most stable computed form = 15.424 kcal/mol of atoms
1.0
5.292 0.000 0.000
0.000 5.292 0.000
0.000 0.000 5.138
Be V In Hg
1 1 2 1
Direct
0.000 0.000 0.000
0.500 0.500 0.000
0.000 0.500 0.500
0.500 0.000 0.500
0.500 0.500 0.500

=====

No. 5
BeVIn2Hg | Alexandria | GGA-PBE | relaxed; symmetry = P4/mmm; offset from the most stable computed form = 0.000 kcal/mol of atoms
1.0
4.810 0.000 0.000
0.000 4.810 0.000
0.000 0.000 4.557
Be V In Hg
1 1 2 1
Direct
0.000 0.000 0.000
0.500 0.500 0.500
0.000 0.500 0.000
0.500 0.000 0.000
0.000 0.000 0.500

=====

No. 6
BeHgIr2 | Alexandria | GGA-PBE | relaxed; symmetry = C2/m; offset from the most stable computed form = 0.536 kcal/mol of atoms
1.0
9.952 0.000 0.000
0.000 2.836 0.000
-2.026 0.000 4.085
Be Hg Ir
2 2 4
Direct
0.000 0.000 0.000
0.500 0.500 0.000
0.000 0.500 0.500
0.500 0.000 0.500
0.212 0.500 0.211
0.288 0.000 0.789
0.712 0.000 0.211
0.788 0.500 0.789

=====

Let's list ΔE_f in order: 0.08, 0.97, 0.18, 1.57, 0.90, 0.10 eV per atom.